Density functional theory data (PBE) for a relaxed structure of KFe2Br.

abc: 3.5738 3.5738 7.9479
angles: 77.00 77.00 59.99
With the nearest neighbours (Å) after each atom.
Fractional coordinates of all 4 atoms:
Br (0.2743, 0.2743, 0.1772)  3 Fe 2.64
Fe (0.0509, 0.0509, 0.8477)  3 Fe 2.25
Fe (0.6789, 0.6789, 0.9634)  3 Fe 2.25
K (0.4959, 0.4959, 0.5117)  3 Br 3.29, 3 Fe 3.30, 6 K 3.57

Properties
- SG = R3m, No. 160
- energy above the lowest structure with this stoichiometry (meV/atom) = 210
- M_tot (μB per formula unit) = 2.11
- DOS at the Fermi energy (states/eV per atom) = 0.380
- ΔE_f (raw) (eV per atom) = 0.4144

***

Density functional theory data (PBE) for a relaxed structure of K2FeBr.

abc: 4.0054 3.9540 9.3726
angles: 65.99 90.00 90.00
With the nearest neighbours (Å) after each atom.
Fractional coordinates of all 4 atoms:
Br (0.5000, 0.2500, 0.2500)  8 K 3.43
Fe (0.5000, 0.7500, 0.7500)  8 K 3.61-3.68, 4 Fe 3.95-4.01
K (0.0000, 0.9713, 0.0209)  4 Br 3.43, 4 Fe 3.61-3.68
K (0.0000, 0.5287, 0.4791)  4 Br 3.43, 4 Fe 3.61-3.68

Properties
- SG = P2/m, No. 10
- energy above the lowest structure with this stoichiometry (meV/atom) = 0
- M_tot (μB per formula unit) = 3.12
- DOS at the Fermi energy (states/eV per atom) = 0.924
- ΔE_f (raw) (eV per atom) = -0.0474

***

Density functional theory data (PBE) for a relaxed structure of KFe2Br.

abc: 6.7586 6.7586 5.8637
angles: 59.54 59.54 27.03
With the nearest neighbours (Å) after each atom.
Fractional coordinates of all 4 atoms:
Br (0.2500, 0.2500, 0.2500)  4 Fe 2.82, 2 Br 3.16
Fe (0.9524, 0.9524, 0.9184)  2 Fe 2.32
Fe (0.5476, 0.5476, 0.5816)  2 Fe 2.32
K (0.7500, 0.7500, 0.7500)  2 K 3.16, 2 Fe 3.29, 4 Br 3.33

Properties
- SG = C2/m, No. 12
- energy above the lowest structure with this stoichiometry (meV/atom) = 250
- M_tot (μB per formula unit) = 5.76
- DOS at the Fermi energy (states/eV per atom) = 0.787
- ΔE_f (raw) (eV per atom) = 0.4543

***

Density functional theory data (PBE) for a relaxed structure of K2FeBr.

abc: 7.5592 7.5592 7.5592
angles: 143.63 143.63 52.38
With the nearest neighbours (Å) after each atom.
Fractional coordinates of all 4 atoms:
Br (0.5000, 0.5000, 0.0000)  4 K 3.34
Fe (0.7500, 0.2500, 0.5000)  4 K 3.34
K (0.0000, 0.0000, 0.0000)  4 Br 3.34
K (0.2500, 0.7500, 0.5000)  4 Fe 3.34

Properties
- SG = I-4m2, No. 119
- energy above the lowest structure with this stoichiometry (meV/atom) = 163
- M_tot (μB per formula unit) = 3.00
- DOS at the Fermi energy (states/eV per atom) = 1.800
- ΔE_f (raw) (eV per atom) = 0.1159

***

Density functional theory data (PBE) for a relaxed structure of K4FeBr.

abc: 7.5684 7.5684 7.5684
angles: 60.00 60.00 60.00
With the nearest neighbours (Å) after each atom.
Fractional coordinates of all 6 atoms:
K (0.8744, 0.3752, 0.3752)  6 K 3.78-3.79
K (0.3752, 0.3752, 0.8744)  6 K 3.78-3.79
K (0.3752, 0.8744, 0.3752)  6 K 3.78-3.79
K (0.3752, 0.3752, 0.3752)  6 K 3.78-3.79
Fe (0.0000, 0.0000, 0.0000)  12 K 4.44, 4 Br 4.63
Br (0.7500, 0.7500, 0.7500)  12 K 4.44, 4 Fe 4.63

Properties
- SG = F-43m, No. 216
- M_tot (μB per formula unit) = 3.27
- DOS at the Fermi energy (states/eV per atom) = 1.183
- ΔE_f (raw) (eV per atom) = 0.3889

***

Density functional theory data (PBE) for a relaxed structure of K2FeBr.

abc: 4.5511 4.5511 9.2386
angles: 75.49 75.49 59.51
With the nearest neighbours (Å) after each atom.
Fractional coordinates of all 4 atoms:
Br (0.7500, 0.7500, 0.7500)  6 K 3.30-3.31
Fe (0.2500, 0.2500, 0.2500)  6 K 3.55-3.59
K (0.0059, 0.0059, 0.9772)  3 Br 3.30-3.31, 3 Fe 3.55-3.59
K (0.4941, 0.4941, 0.5228)  3 Br 3.30-3.31, 3 Fe 3.55-3.59

Properties
- SG = C2/m, No. 12
- energy above the lowest structure with this stoichiometry (meV/atom) = 33
- M_tot (μB per formula unit) = 3.09
- DOS at the Fermi energy (states/eV per atom) = 0.494
- ΔE_f (raw) (eV per atom) = -0.0141

***

Density functional theory data (PBE) for a relaxed structure of KFe2Br.

abc: 5.0713 5.0713 5.0713
angles: 60.00 60.00 60.00
With the nearest neighbours (Å) after each atom.
Fractional coordinates of all 4 atoms:
K (0.0000, 0.0000, 0.0000)  8 Fe 3.11
Fe (0.2500, 0.2500, 0.2500)  4 Br 3.11, 4 K 3.11
Fe (0.7500, 0.7500, 0.7500)  4 Br 3.11, 4 K 3.11
Br (0.5000, 0.5000, 0.5000)  8 Fe 3.11

Properties
- SG = Fm-3m, No. 225
- energy above the lowest structure with this stoichiometry (meV/atom) = 1083
- M_tot (μB per formula unit) = 6.31
- DOS at the Fermi energy (states/eV per atom) = 1.887
- ΔE_f (raw) (eV per atom) = 1.2868

***

Density functional theory data (PBE) for a relaxed structure of KFe2Br.

abc: 2.9695 6.1113 5.8883
angles: 90.00 90.00 90.00
With the nearest neighbours (Å) after each atom.
Fractional coordinates of all 4 atoms:
Br (0.5000, 0.5000, 0.7500)  2 K 2.94, 2 Br 2.97
Fe (0.0000, 0.0000, 0.0631)  1 Fe 2.20
Fe (0.0000, 0.0000, 0.4369)  1 Fe 2.20
K (0.5000, 0.5000, 0.2500)  2 Br 2.94, 2 K 2.97

Properties
- SG = Pmmm, No. 47
- energy above the lowest structure with this stoichiometry (meV/atom) = 662
- M_tot (μB per formula unit) = 6.16
- DOS at the Fermi energy (states/eV per atom) = 1.085
- ΔE_f (raw) (eV per atom) = 0.8657